Entry 1:
Below is crystalline CdIr3Pd at its relaxed geometry, with properties calculated at the PBE-GGA level.

## Properties
DOS(E_F)	6.4	states/eV/f.u.
ΔH_f (0 K)	1887	meV per atom
energy relative to the lowest polymorph listed for this composition	0.000	eV/atom
size of the total moment	3.5	μB per cell
total energy	-0.34186	Ry/atom
volume	21.8	Å³/atom

POSCAR file:
```
CdIr3Pd
1.0
4.779 0.000 0.000
0.000 4.779 0.000
0.000 0.000 4.779
Cd Ir Pd
1 3 1
direct
0.000 0.000 0.000 Cd
0.000 0.500 0.500 Ir
0.500 0.000 0.500 Ir
0.500 0.500 0.000 Ir
0.500 0.500 0.500 Pd
```



Entry 2:
Below is crystalline Li2PrSc2Pb2 at its relaxed geometry, with properties calculated at the PBE-GGA level.

## Properties
DOS(E_F)	5.3	states/eV/f.u.
ΔH_f (0 K)	-342	meV per atom
size of the total moment	0.7	μB per cell
total energy	-0.32637	Ry/atom
volume	24.4	Å³/atom

POSCAR file:
```
Li2PrSc2Pb2
1.0
2.393 1.382 8.618
-2.393 1.382 8.618
0.000 -2.763 8.618
Li Pr Sc Pb
2 1 2 2
direct
0.069 0.069 0.069 Li
0.931 0.931 0.931 Li
0.500 0.500 0.500 Pr
0.365 0.365 0.365 Sc
0.635 0.635 0.635 Sc
0.243 0.243 0.243 Pb
0.757 0.757 0.757 Pb
```